TcSb2P | GGA-PBEsol | optimized geometry

a b c (Å): 4.7083 4.7083 4.7083
angles (deg): 60.00 60.00 60.00
Last column: nearest neighbours and their distance in Å.
Element x y z (fractional)
P  0.5000  0.5000  0.5000  4 Tc 2.88, 4 Sb 2.88
Sb  0.0000  0.0000  0.0000  4 Tc 2.88, 4 Sb 2.88
Sb  0.2500  0.2500  0.2500  4 Sb 2.88, 4 P 2.88
Tc  0.7500  0.7500  0.7500  4 P 2.88, 4 Sb 2.88

As for the crystal system: cubic. The space group is F-43m (216). For the volume, the calculation gives 18.5 Å³/atom. The calculation puts the uncorrected formation energy at 0.56 eV/atom. The calculation puts the size of the total moment at 0.0 Bohr magnetons per cell.